LiTePb2: optimized geometry, GGA-PBE.

a b c (Å): 5.908 5.908 5.908
angles (deg): 131.09 131.09 71.67
Positions (direct):
Li 0.000 0.000 0.000
Te 0.750 0.250 0.500
Pb 0.250 0.750 0.500
Pb 0.500 0.500 0.000

Values from the calculation:
The value obtained for the total energy is -3.291 eV per atom. The magnetization comes out at 0.00 μB/f.u. The space group is I-4m2, No. 119.